# 1
Here is a geometry-optimized MnCo6Ge3 structure from Alexandria via LeMat-Bulk. Energies are from PBE.

Unit cell a=7.0634 b=4.0758 c=8.6813 alpha=90.00 beta=107.44 gamma=90.00
Space group P2_1/m (No. 11)
Unique sites:
Mn (0.0521, 0.2500, 0.4007) (multiplicity 2)
Co (0.0560, 0.7500, 0.9030) (multiplicity 2)
Co (0.1497, 0.7500, 0.2088) (multiplicity 2)
Co (0.1552, 0.2500, 0.7082) (multiplicity 2)
Co (0.2572, 0.7500, 0.5037) (multiplicity 2)
Co (0.3561, 0.2500, 0.3019) (multiplicity 2)
Co (0.4521, 0.7500, 0.0962) (multiplicity 2)
Ge (0.2335, 0.2500, 0.0109) (multiplicity 2)
Ge (0.3413, 0.7500, 0.7994) (multiplicity 2)
Ge (0.4520, 0.2500, 0.6041) (multiplicity 2)

Output
- total magnetization (μB/f.u.) = 9.75
- total DFT energy (no corrections) (hartree per atom) = -0.2435


# 2
Here is a geometry-optimized MnCo3Ge6 structure from Alexandria via LeMat-Bulk. Energies are from PBE.

Unit cell a=6.3615 b=5.9578 c=9.0354 alpha=90.00 beta=120.16 gamma=90.00
Space group P2_1/c (No. 14)
Unique sites:
Mn (0.0000, 0.0000, 0.0000) (multiplicity 2)
Co (0.2077, 0.1739, 0.7352) (multiplicity 4)
Co (0.5000, 0.0000, 0.5000) (multiplicity 2)
Ge (0.1102, 0.1271, 0.4339) (multiplicity 4)
Ge (0.2482, 0.6781, 0.3945) (multiplicity 4)
Ge (0.4310, 0.5017, 0.7214) (multiplicity 4)

Output
- total magnetization (μB/f.u.) = 2.17
- total DFT energy (no corrections) (hartree per atom) = -0.2148